# 1
# PrZnHg

An optimized crystal structure of PrZnHg (PBE, the Alexandria database).

The density of states at the Fermi level is 3.4 states/eV/f.u. The calculation puts the formation energy at -0.3959 eV/atom.

The structure belongs to space group P-6m2 (No. 187); the cell edges are 4.7913, 4.7913 and 3.6860 Å and the angles 90.00°, 90.00° and 120.00°. The asymmetric unit holds Pr at (0.0000, 0.0000, 0.0000), Zn at (0.6667, 0.3333, 0.5000) and Hg at (0.3333, 0.6667, 0.5000).

# 2
# Pr2ZnHg

An optimized crystal structure of Pr2ZnHg (PBE, the Alexandria database).

The density of states at the Fermi level is 4.4 states/eV/f.u. The excess energy over the best structure of this formula in the dataset comes out at 0.024 eV/atom. The calculation puts the formation energy at -0.3685 eV/atom.

The structure belongs to space group Fm-3m (No. 225); the cell edges are 7.600, 7.600 and 7.600 Å and the angles 90.00°, 90.00° and 90.00°. The asymmetric unit holds Pr at (0.250, 0.250, 0.250), Zn at (0.000, 0.000, 0.000) and Hg at (0.000, 0.000, 0.500).

The records above give, respectively, total magnetic moment values of 0.0; 0.8 μB per formula unit.